# 1
The following is a DFT calculation (GGA-PBE) of crystalline Na2Tl2Sb at its relaxed geometry.

Output
For the magnetization, the calculation gives 0.0 μB per formula unit. The calculation puts the energy relative to the elements, uncorrected at -0.3 eV/f.u. As for the total energy: -11.84 eV per formula unit.

```
data_Na2Tl2Sb
_cell_length_a 7.7159
_cell_length_b 7.7159
_cell_length_c 5.1224
_cell_angle_alpha 90.00
_cell_angle_beta 90.00
_cell_angle_gamma 90.00
_symmetry_space_group_name_H-M 'P 1'
_symmetry_Int_Tables_number 1
loop_
_symmetry_equiv_pos_as_xyz
'x,y,z'
loop_
_atom_site_label
_atom_site_type_symbol
_atom_site_fract_x
_atom_site_fract_y
_atom_site_fract_z
Tl1 Tl 0.1782 0.6782 0.5000
Tl2 Tl 0.8218 0.3218 0.5000
Tl3 Tl 0.6782 0.8218 0.5000
Tl4 Tl 0.3218 0.1782 0.5000
Na1 Na 0.8594 0.6406 0.0000
Na2 Na 0.3594 0.8594 0.0000
Na3 Na 0.6406 0.1406 0.0000
Na4 Na 0.1406 0.3594 0.0000
Sb1 Sb 0.0000 0.0000 0.0000
Sb2 Sb 0.5000 0.5000 0.0000
```

# 2
The following is a DFT calculation (GGA-PBE) of crystalline KLa2YSe4 at its relaxed geometry.

Output
For the magnetization, the calculation gives 0.0 μB per formula unit. The calculation puts the energy relative to the elements, uncorrected at -14.4 eV/f.u. As for the total energy: -45.77 eV per formula unit.

```
data_KLa2YSe4
_cell_length_a 4.2792
_cell_length_b 7.4249
_cell_length_c 7.5510
_cell_angle_alpha 71.03
_cell_angle_beta 90.00
_cell_angle_gamma 90.00
_symmetry_space_group_name_H-M 'P 1'
_symmetry_Int_Tables_number 1
loop_
_symmetry_equiv_pos_as_xyz
'x,y,z'
loop_
_atom_site_label
_atom_site_type_symbol
_atom_site_fract_x
_atom_site_fract_y
_atom_site_fract_z
Se1 Se 0.5000 0.2589 0.7357
Se2 Se 0.5000 0.7411 0.2643
Se3 Se 0.0000 0.2462 0.2664
Se4 Se 0.0000 0.7538 0.7336
La1 La 0.5000 0.0000 0.5000
La2 La 0.0000 0.0000 0.0000
Y1 Y 0.0000 0.5000 0.5000
K1 K 0.5000 0.5000 0.0000
```

# 3
The following is a DFT calculation (GGA-PBE) of crystalline LiAc2Cu4Sn3 at its relaxed geometry.

Output
For the magnetization, the calculation gives 0.0 μB per formula unit. As for the total energy: -42.59 eV per formula unit. The calculation puts the calculated formation energy at -0.406 eV/atom.

```
data_LiAc2Cu4Sn3
_cell_length_a 4.6176
_cell_length_b 4.6176
_cell_length_c 10.4452
_cell_angle_alpha 90.00
_cell_angle_beta 90.00
_cell_angle_gamma 90.00
_symmetry_space_group_name_H-M 'P 1'
_symmetry_Int_Tables_number 1
loop_
_symmetry_equiv_pos_as_xyz
'x,y,z'
loop_
_atom_site_label
_atom_site_type_symbol
_atom_site_fract_x
_atom_site_fract_y
_atom_site_fract_z
Sn1 Sn 0.0000 0.0000 0.5000
Sn2 Sn 0.0000 0.5000 0.1297
Sn3 Sn 0.5000 0.0000 0.8703
Cu1 Cu 0.5000 0.0000 0.6206
Cu2 Cu 0.5000 0.5000 0.0000
Cu3 Cu 0.0000 0.5000 0.3794
Cu4 Cu 0.0000 0.0000 0.0000
Ac1 Ac 0.5000 0.0000 0.2395
Ac2 Ac 0.0000 0.5000 0.7605
Li1 Li 0.5000 0.5000 0.5000
```

# 4
The following is a DFT calculation (GGA-PBE) of crystalline BeAl2Tc at its relaxed geometry.

Output
For the magnetization, the calculation gives 0.0 μB per formula unit. As for the total energy: -21.90 eV per formula unit. The calculation puts the calculated formation energy at -0.082 eV/atom.

```
data_BeAl2Tc
_cell_length_a 4.0967
_cell_length_b 2.6709
_cell_length_c 4.9774
_cell_angle_alpha 79.44
_cell_angle_beta 90.00
_cell_angle_gamma 90.00
_symmetry_space_group_name_H-M 'P 1'
_symmetry_Int_Tables_number 1
loop_
_symmetry_equiv_pos_as_xyz
'x,y,z'
loop_
_atom_site_label
_atom_site_type_symbol
_atom_site_fract_x
_atom_site_fract_y
_atom_site_fract_z
Al1 Al 0.0000 0.0971 0.0065
Al2 Al 0.0000 0.4029 0.4935
Tc1 Tc 0.5000 0.7500 0.7500
Be1 Be 0.5000 0.2500 0.2500
```

# 5
The following is a DFT calculation (GGA-PBE) of crystalline K2DyCuI6 at its relaxed geometry.

Output
For the magnetization, the calculation gives 0.0 μB per formula unit. The calculation puts the energy relative to the elements, uncorrected at -11.3 eV/f.u. As for the total energy: -31.47 eV per formula unit.

```
data_K2DyCuI6
_cell_length_a 8.5003
_cell_length_b 9.4005
_cell_length_c 10.5355
_cell_angle_alpha 90.00
_cell_angle_beta 89.28
_cell_angle_gamma 90.00
_symmetry_space_group_name_H-M 'P 1'
_symmetry_Int_Tables_number 1
loop_
_symmetry_equiv_pos_as_xyz
'x,y,z'
loop_
_atom_site_label
_atom_site_type_symbol
_atom_site_fract_x
_atom_site_fract_y
_atom_site_fract_z
I1 I 0.8915 0.5301 0.2183
I2 I 0.7996 0.8395 0.9465
I3 I 0.8365 0.7795 0.5512
I4 I 0.3915 0.9699 0.7183
I5 I 0.2004 0.1605 0.0535
I6 I 0.6085 0.0301 0.2817
I7 I 0.6635 0.2795 0.9488
I8 I 0.1085 0.4699 0.7817
I9 I 0.3365 0.7205 0.0512
I10 I 0.1635 0.2205 0.4488
I11 I 0.7004 0.3395 0.5535
I12 I 0.2996 0.6605 0.4465
Dy1 Dy 0.0000 0.5000 0.5000
Dy2 Dy 0.5000 0.0000 0.0000
Cu1 Cu 0.5000 0.0000 0.5000
Cu2 Cu 0.0000 0.5000 0.0000
K1 K 0.4721 0.3992 0.2463
K2 K 0.5279 0.6008 0.7537
K3 K 0.0279 0.8992 0.2537
K4 K 0.9721 0.1008 0.7463
```

# 6
The following is a DFT calculation (GGA-PBE) of crystalline CsLiCaH at its relaxed geometry.

Output
For the magnetization, the calculation gives 0.0 μB per formula unit. As for the total energy: -8.00 eV per formula unit.

```
data_CsLiCaH
_cell_length_a 3.6093
_cell_length_b 4.4019
_cell_length_c 16.4942
_cell_angle_alpha 90.00
_cell_angle_beta 90.00
_cell_angle_gamma 90.00
_symmetry_space_group_name_H-M 'P 1'
_symmetry_Int_Tables_number 1
loop_
_symmetry_equiv_pos_as_xyz
'x,y,z'
loop_
_atom_site_label
_atom_site_type_symbol
_atom_site_fract_x
_atom_site_fract_y
_atom_site_fract_z
H1 H 0.5000 0.0000 0.4510
H2 H 0.5000 0.5000 0.9510
Ca1 Ca 0.0000 0.5000 0.0477
Ca2 Ca 0.0000 0.0000 0.5477
Cs1 Cs 0.0000 0.0000 0.8566
Cs2 Cs 0.0000 0.5000 0.3566
Li1 Li 0.5000 0.5000 0.6646
Li2 Li 0.5000 0.0000 0.1646
```

# 7
The following is a DFT calculation (GGA-PBE) of crystalline Cs2Ba2Sr at its relaxed geometry.

Output
For the magnetization, the calculation gives 0.0 μB per formula unit. As for the total energy: -5.55 eV per formula unit. The calculation puts the calculated formation energy at 0.337 eV/atom.

```
data_Cs2Ba2Sr
_cell_length_a 5.7661
_cell_length_b 5.7661
_cell_length_c 13.4036
_cell_angle_alpha 77.58
_cell_angle_beta 77.58
_cell_angle_gamma 90.00
_symmetry_space_group_name_H-M 'P 1'
_symmetry_Int_Tables_number 1
loop_
_symmetry_equiv_pos_as_xyz
'x,y,z'
loop_
_atom_site_label
_atom_site_type_symbol
_atom_site_fract_x
_atom_site_fract_y
_atom_site_fract_z
Ba1 Ba 0.7500 0.2500 0.5000
Ba2 Ba 0.2500 0.7500 0.5000
Cs1 Cs 0.4018 0.4018 0.1964
Cs2 Cs 0.5982 0.5982 0.8036
Sr1 Sr 0.0000 0.0000 0.0000
```

# 8
The following is a DFT calculation (GGA-PBE) of crystalline CrCd2Se at its relaxed geometry.

Output
For the magnetization, the calculation gives 3.1 μB per formula unit. The calculation puts the energy relative to the elements, uncorrected at 0.0 eV/f.u. As for the total energy: -14.92 eV per formula unit.

```
data_CrCd2Se
_cell_length_a 8.6401
_cell_length_b 8.6401
_cell_length_c 8.6401
_cell_angle_alpha 23.21
_cell_angle_beta 23.21
_cell_angle_gamma 23.21
_symmetry_space_group_name_H-M 'P 1'
_symmetry_Int_Tables_number 1
loop_
_symmetry_equiv_pos_as_xyz
'x,y,z'
loop_
_atom_site_label
_atom_site_type_symbol
_atom_site_fract_x
_atom_site_fract_y
_atom_site_fract_z
Cr1 Cr 0.4907 0.4907 0.4907
Cd1 Cd 0.9990 0.9990 0.9990
Cd2 Cd 0.2417 0.2417 0.2417
Se1 Se 0.7687 0.7687 0.7687
```